Computed, not measured: crystalline K12RbHg5 at its relaxed geometry at the PBE-GGA level of DFT.

Summary:
VASP energy = -36.06 eV/cell
Fermi-level density of states = 12.0 states/eV/f.u.
Formation enthalpy at 0 K = -230 kJ/mol of formula units

```
data_K12RbHg5
_symmetry_space_group_name_H-M 'I m m m'
_symmetry_Int_Tables_number 71
_symmetry_space_group_name_Hall '-I 2 2'
_cell_length_a 11.7909
_cell_length_b 11.9096
_cell_length_c 13.4624
_cell_angle_alpha 90.00
_cell_angle_beta 90.00
_cell_angle_gamma 90.00
loop_
_atom_site_label
_atom_site_fract_x
_atom_site_fract_y
_atom_site_fract_z
K1 0.0000 0.1973 0.2179
K2 0.1886 0.5000 0.1836
K3 0.2280 0.3223 0.5000
Rb1 0.0000 0.0000 0.5000
Hg1 0.0000 0.0000 0.0000
Hg2 0.0000 0.3718 0.0000
Hg3 0.0000 0.5000 0.3886
```